Er2B4O9 | PBE | optimized geometry

abc: 6.164 6.422 7.473
angles: 102.44 97.26 102.30
Atoms (fractional coordinates):
Er1 0.050 0.089 0.288
Er2 0.386 0.675 0.358
Er3 0.614 0.325 0.642
Er4 0.950 0.911 0.712
B1 0.126 0.357 0.650
B2 0.161 0.683 0.926
B3 0.232 0.333 0.981
B4 0.495 0.144 0.191
B5 0.505 0.856 0.809
B6 0.768 0.667 0.019
B7 0.839 0.317 0.074
B8 0.874 0.643 0.350
O1 0.004 0.792 0.020
O2 0.038 0.538 0.747
O3 0.080 0.818 0.447
O4 0.264 0.263 0.789
O5 0.274 0.572 0.042
O6 0.282 0.405 0.522
O7 0.311 0.869 0.877
O8 0.362 0.283 0.145
O9 0.429 0.040 0.325
O10 0.571 0.960 0.675
O11 0.638 0.717 0.855
O12 0.689 0.131 0.123
O13 0.718 0.595 0.478
O14 0.726 0.428 0.958
O15 0.736 0.737 0.211
O16 0.920 0.182 0.553
O17 0.962 0.462 0.253
O18 0.996 0.208 0.980

Computed properties:
- Formation energy from raw total energies: -2.8697 eV per atom
- Final energy: -0.60516 Ry/atom

=====

Er3B5O12 | PBE | optimized geometry

abc: 12.888 4.640 12.565
angles: 90.00 90.00 90.00
Atoms (fractional coordinates):
Er1 0.133 0.000 0.000
Er2 0.135 0.002 0.307
Er3 0.135 0.998 0.693
Er4 0.365 0.002 0.193
Er5 0.365 0.998 0.807
Er6 0.367 0.000 0.500
Er7 0.633 0.000 0.500
Er8 0.635 0.002 0.193
Er9 0.635 0.998 0.807
Er10 0.865 0.002 0.307
Er11 0.865 0.998 0.693
Er12 0.867 0.000 0.000
B1 0.000 0.457 0.374
B2 0.000 0.461 0.150
B3 0.000 0.539 0.850
B4 0.000 0.543 0.626
B5 0.162 0.500 0.500
B6 0.202 0.470 0.849
B7 0.202 0.530 0.151
B8 0.298 0.470 0.651
B9 0.298 0.530 0.349
B10 0.338 0.500 0.000
B11 0.500 0.457 0.126
B12 0.500 0.461 0.350
B13 0.500 0.539 0.650
B14 0.500 0.543 0.874
B15 0.662 0.500 0.000
B16 0.702 0.470 0.651
B17 0.702 0.530 0.349
B18 0.798 0.470 0.849
B19 0.798 0.530 0.151
B20 0.838 0.500 0.500
O1 0.000 0.241 0.071
O2 0.000 0.242 0.639
O3 0.000 0.304 0.262
O4 0.000 0.696 0.738
O5 0.000 0.758 0.361
O6 0.000 0.759 0.929
O7 0.095 0.343 0.855
O8 0.095 0.657 0.145
O9 0.096 0.336 0.426
O10 0.096 0.664 0.574
O11 0.204 0.221 0.152
O12 0.204 0.779 0.848
O13 0.233 0.311 0.565
O14 0.233 0.689 0.435
O15 0.250 0.343 0.750
O16 0.250 0.657 0.250
O17 0.267 0.311 0.935
O18 0.267 0.689 0.065
O19 0.296 0.221 0.348
O20 0.296 0.779 0.652
O21 0.404 0.336 0.074
O22 0.404 0.664 0.926
O23 0.405 0.343 0.645
O24 0.405 0.657 0.355
O25 0.500 0.241 0.429
O26 0.500 0.242 0.861
O27 0.500 0.304 0.238
O28 0.500 0.696 0.762
O29 0.500 0.758 0.139
O30 0.500 0.759 0.571
O31 0.595 0.343 0.645
O32 0.595 0.657 0.355
O33 0.596 0.336 0.074
O34 0.596 0.664 0.926
O35 0.704 0.221 0.348
O36 0.704 0.779 0.652
O37 0.733 0.311 0.935
O38 0.733 0.689 0.065
O39 0.750 0.343 0.750
O40 0.750 0.657 0.250
O41 0.767 0.311 0.565
O42 0.767 0.689 0.435
O43 0.796 0.221 0.152
O44 0.796 0.779 0.848
O45 0.904 0.336 0.426
O46 0.904 0.664 0.574
O47 0.905 0.343 0.855
O48 0.905 0.657 0.145

Computed properties:
- Formation energy from raw total energies: -2.9466 eV per atom
- Final energy: -0.60822 Ry/atom

=====

ErB4O7 | PBE | optimized geometry

abc: 11.185 4.587 4.204
angles: 90.00 90.00 90.00
Atoms (fractional coordinates):
Er1 0.000 0.167 0.000
Er2 0.500 0.833 0.500
B1 0.122 0.667 0.331
B2 0.241 0.824 0.795
B3 0.259 0.176 0.295
B4 0.378 0.333 0.831
B5 0.622 0.333 0.831
B6 0.741 0.176 0.295
B7 0.759 0.824 0.795
B8 0.878 0.667 0.331
O1 0.000 0.696 0.196
O2 0.130 0.753 0.653
O3 0.162 0.378 0.238
O4 0.209 0.891 0.140
O5 0.291 0.109 0.640
O6 0.338 0.622 0.738
O7 0.370 0.247 0.153
O8 0.500 0.304 0.696
O9 0.630 0.247 0.153
O10 0.662 0.622 0.738
O11 0.709 0.109 0.640
O12 0.791 0.891 0.140
O13 0.838 0.378 0.238
O14 0.870 0.753 0.653

Computed properties:
- Formation energy from raw total energies: -2.3864 eV per atom
- Final energy: -0.57951 Ry/atom

=====

Er4B6O15 | PBE | optimized geometry

abc: 6.235 6.235 18.821
angles: 95.96 95.96 41.21
Atoms (fractional coordinates):
Er1 0.063 0.668 0.901
Er2 0.072 0.654 0.697
Er3 0.332 0.937 0.599
Er4 0.346 0.928 0.803
Er5 0.654 0.072 0.197
Er6 0.668 0.063 0.401
Er7 0.928 0.346 0.303
Er8 0.937 0.332 0.099
B1 0.021 0.640 0.526
B2 0.197 0.609 0.087
B3 0.204 0.659 0.306
B4 0.341 0.796 0.194
B5 0.360 0.979 0.974
B6 0.391 0.803 0.413
B7 0.609 0.197 0.587
B8 0.640 0.021 0.026
B9 0.659 0.204 0.806
B10 0.796 0.341 0.694
B11 0.803 0.391 0.913
B12 0.979 0.360 0.474
O1 0.006 0.248 0.979
O2 0.050 0.315 0.704
O3 0.076 0.562 0.139
O4 0.089 0.494 0.451
O5 0.132 0.868 0.250
O6 0.161 0.810 0.379
O7 0.190 0.839 0.121
O8 0.248 0.006 0.479
O9 0.287 0.543 0.571
O10 0.315 0.050 0.204
O11 0.334 0.533 0.803
O12 0.438 0.924 0.361
O13 0.457 0.713 0.929
O14 0.467 0.666 0.697
O15 0.494 0.089 0.951
O16 0.506 0.911 0.049
O17 0.533 0.334 0.303
O18 0.543 0.287 0.071
O19 0.562 0.076 0.639
O20 0.666 0.467 0.197
O21 0.685 0.950 0.796
O22 0.713 0.457 0.429
O23 0.752 0.994 0.521
O24 0.810 0.161 0.879
O25 0.839 0.190 0.621
O26 0.868 0.132 0.750
O27 0.911 0.506 0.549
O28 0.924 0.438 0.861
O29 0.950 0.685 0.296
O30 0.994 0.752 0.021

Computed properties:
- Formation energy from raw total energies: -2.9607 eV per atom
- Final energy: -0.60771 Ry/atom

=====

Er3BO6 | PBE | optimized geometry

abc: 6.953 6.953 5.120
angles: 90.00 90.00 102.87
Atoms (fractional coordinates):
Er1 0.104 0.896 0.500
Er2 0.200 0.418 0.453
Er3 0.418 0.200 0.953
Er4 0.582 0.800 0.453
Er5 0.800 0.582 0.953
Er6 0.896 0.104 0.000
B1 0.306 0.694 0.901
B2 0.694 0.306 0.401
O1 0.105 0.616 0.775
O2 0.146 0.175 0.723
O3 0.175 0.146 0.223
O4 0.295 0.705 0.195
O5 0.384 0.895 0.775
O6 0.437 0.563 0.795
O7 0.563 0.437 0.295
O8 0.616 0.105 0.275
O9 0.705 0.295 0.695
O10 0.825 0.854 0.723
O11 0.854 0.825 0.223
O12 0.895 0.384 0.275

Computed properties:
- Formation energy from raw total energies: -3.3202 eV per atom
- Final energy: -0.61237 Ry/atom

=====

ErBP2O8 | PBE | optimized geometry

abc: 4.861 4.861 6.082
angles: 90.00 90.00 120.00
Atoms (fractional coordinates):
Er1 0.000 0.000 0.000
B1 0.000 0.000 0.500
P1 0.333 0.667 0.255
P2 0.667 0.333 0.745
O1 0.158 0.315 0.327
O2 0.158 0.842 0.327
O3 0.315 0.158 0.673
O4 0.333 0.667 0.003
O5 0.667 0.333 0.997
O6 0.685 0.842 0.327
O7 0.842 0.158 0.673
O8 0.842 0.685 0.673

Computed properties:
- Formation energy from raw total energies: -2.2161 eV per atom
- Final energy: -0.54094 Ry/atom

=====

Er3B4PbO12 | PBE | optimized geometry

abc: 6.535 6.535 6.535
angles: 102.70 102.70 102.70
Atoms (fractional coordinates):
Er1 0.000 0.540 0.460
Er2 0.460 0.000 0.540
Er3 0.540 0.460 0.000
B1 0.038 0.500 0.962
B2 0.500 0.500 0.500
B3 0.500 0.962 0.038
B4 0.962 0.038 0.500
Pb1 0.000 0.000 0.000
O1 0.031 0.627 0.818
O2 0.097 0.903 0.500
O3 0.182 0.373 0.969
O4 0.364 0.636 0.500
O5 0.373 0.969 0.182
O6 0.500 0.097 0.903
O7 0.500 0.364 0.636
O8 0.627 0.818 0.031
O9 0.636 0.500 0.364
O10 0.818 0.031 0.627
O11 0.903 0.500 0.097
O12 0.969 0.182 0.373

Computed properties:
- Formation energy from raw total energies: -2.7459 eV per atom
- Final energy: -0.58256 Ry/atom

=====

ErB2PbO6 | PBE | optimized geometry

abc: 6.485 6.485 6.569
angles: 100.01 100.01 103.41
Atoms (fractional coordinates):
Er1 0.081 0.919 0.750
Er2 0.919 0.081 0.250
B1 0.096 0.407 0.743
B2 0.407 0.096 0.243
B3 0.593 0.904 0.757
B4 0.904 0.593 0.257
Pb1 0.398 0.602 0.250
Pb2 0.602 0.398 0.750
O1 0.016 0.204 0.607
O2 0.016 0.437 0.246
O3 0.204 0.016 0.107
O4 0.299 0.449 0.881
O5 0.437 0.016 0.746
O6 0.449 0.299 0.381
O7 0.551 0.701 0.619
O8 0.563 0.984 0.254
O9 0.701 0.551 0.119
O10 0.796 0.984 0.893
O11 0.984 0.563 0.754
O12 0.984 0.796 0.393

Computed properties:
- Formation energy from raw total energies: -2.3836 eV per atom
- Final energy: -0.55279 Ry/atom

=====

ErPuB2O8 | PBE | optimized geometry

abc: 5.510 5.510 5.510
angles: 105.86 105.86 116.96
Atoms (fractional coordinates):
Er1 0.000 0.000 0.000
Pu1 0.250 0.750 0.500
B1 0.500 0.500 0.000
B2 0.750 0.250 0.500
O1 0.344 0.165 0.821
O2 0.344 0.522 0.179
O3 0.417 0.087 0.330
O4 0.478 0.656 0.821
O5 0.757 0.087 0.670
O6 0.835 0.656 0.179
O7 0.913 0.243 0.330
O8 0.913 0.583 0.670

Computed properties:
- Formation energy from raw total energies: -2.4550 eV per atom
- Final energy: -0.62091 Ry/atom

=====

RbEr3B4O12 | PBE | optimized geometry

abc: 6.645 6.645 6.645
angles: 101.13 101.13 101.13
Atoms (fractional coordinates):
Rb1 0.000 0.000 0.000
Er1 0.000 0.549 0.451
Er2 0.451 0.000 0.549
Er3 0.549 0.451 0.000
B1 0.044 0.500 0.956
B2 0.500 0.500 0.500
B3 0.500 0.956 0.044
B4 0.956 0.044 0.500
O1 0.010 0.588 0.787
O2 0.091 0.909 0.500
O3 0.213 0.412 0.990
O4 0.364 0.636 0.500
O5 0.412 0.990 0.213
O6 0.500 0.091 0.909
O7 0.500 0.364 0.636
O8 0.588 0.787 0.010
O9 0.636 0.500 0.364
O10 0.787 0.010 0.588
O11 0.909 0.500 0.091
O12 0.990 0.213 0.412

Computed properties:
- Formation energy from raw total energies: -2.7118 eV per atom
- Final energy: -0.56998 Ry/atom

=====

ErSc3B4O12 | PBE | optimized geometry

abc: 6.246 6.246 6.246
angles: 103.35 103.35 103.35
Atoms (fractional coordinates):
Er1 0.000 0.000 0.000
Sc1 0.000 0.544 0.456
Sc2 0.456 0.000 0.544
Sc3 0.544 0.456 0.000
B1 0.044 0.500 0.956
B2 0.500 0.500 0.500
B3 0.500 0.956 0.044
B4 0.956 0.044 0.500
O1 0.029 0.638 0.810
O2 0.096 0.904 0.500
O3 0.190 0.362 0.971
O4 0.359 0.641 0.500
O5 0.362 0.971 0.190
O6 0.500 0.096 0.904
O7 0.500 0.359 0.641
O8 0.638 0.810 0.029
O9 0.641 0.500 0.359
O10 0.810 0.029 0.638
O11 0.904 0.500 0.096
O12 0.971 0.190 0.362

Computed properties:
- Formation energy from raw total energies: -3.0328 eV per atom
- Final energy: -0.62629 Ry/atom

=====

ErScB2O6 | PBE | optimized geometry

abc: 6.033 6.033 6.033
angles: 47.80 47.80 47.80
Atoms (fractional coordinates):
Er1 0.000 0.000 0.000
Sc1 0.500 0.500 0.500
B1 0.246 0.246 0.246
B2 0.754 0.754 0.754
O1 0.044 0.477 0.737
O2 0.263 0.956 0.523
O3 0.477 0.737 0.044
O4 0.523 0.263 0.956
O5 0.737 0.044 0.477
O6 0.956 0.523 0.263

Computed properties:
- Formation energy from raw total energies: -3.0736 eV per atom
- Final energy: -0.62279 Ry/atom